Entry 1:
Compound: Ca2PmBi3
Source: the Alexandria database
Functional: PBE-GGA
Structure: relaxed

abc: 3.7782 6.5864 8.9075
angles: 111.70 102.24 90.00
Closest atoms and distances in Å follow each position.
Fractional coordinates of all 6 atoms:
Bi 0.3335 0.3335 0.6670  2 Pm 3.28, 4 Ca 3.29
Ca 0.6662 0.1662 0.3324  6 Bi 3.28-3.29
Pm 0.0000 0.5000 0.0000  6 Bi 3.28-3.29
Bi 0.6665 0.6665 0.3330  2 Pm 3.28, 4 Ca 3.29
Ca 0.3338 0.8338 0.6676  6 Bi 3.28-3.29
Bi 0.0000 0.0000 0.0000  4 Ca 3.28, 2 Pm 3.29

- Space-group type: Immm
- ΔE_f: -0.709 eV/atom
- Crystal system: orthorhombic



Entry 2:
Compound: Th2FeSi3Ir4
Source: the Alexandria database
Functional: PBE-GGA
Structure: relaxed

abc: 4.1724 4.1724 10.0859
angles: 90.00 90.00 90.00
Closest atoms and distances in Å follow each position.
Fractional coordinates of all 10 atoms:
Fe 0.5000 0.5000 0.5000  4 Ir 2.48
Si 0.0000 0.5000 0.1294  5 Ir 2.40-2.46
Ir 0.0000 0.0000 0.0000  4 Si 2.46
Si 0.0000 0.0000 0.5000  4 Ir 2.48
Th 0.0000 0.5000 0.7426  8 Ir 3.15-3.33, 2 Fe 3.22, 6 Si 3.22
Si 0.5000 0.0000 0.8706  5 Ir 2.40-2.46
Ir 0.5000 0.5000 0.0000  4 Si 2.46
Ir 0.0000 0.5000 0.3676  3 Si 2.40-2.48, 2 Fe 2.48
Ir 0.5000 0.0000 0.6324  3 Si 2.40-2.48, 2 Fe 2.48
Th 0.5000 0.0000 0.2574  8 Ir 3.15-3.33, 2 Fe 3.22, 6 Si 3.22

- Space-group type: P-4m2
- Crystal system: tetragonal
- E: -84.54 eV per formula unit



Entry 3:
Compound: TaTi3H6
Source: the Alexandria database
Functional: PBE-GGA
Structure: relaxed

abc: 5.5209 5.5209 5.5209
angles: 89.99 89.99 89.99
Closest atoms and distances in Å follow each position.
Fractional coordinates of all 20 atoms:
H 0.9872 0.6860 0.1397  3 Ti 1.86-1.99, 1 Ta 1.90, 1 H 1.92
H 0.5020 0.3581 0.1870  3 Ti 1.88-1.99, 1 Ta 1.90, 1 H 1.92
Ti 0.0028 0.2500 0.5065  6 H 1.86-1.99
H 0.1397 0.9872 0.6860  3 Ti 1.86-1.99, 1 Ta 1.90, 1 H 1.92
H 0.6419 0.8130 0.4980  3 Ti 1.88-1.99, 1 Ta 1.90, 1 H 1.92
H 0.3581 0.1870 0.5020  3 Ti 1.88-1.99, 1 Ta 1.90, 1 H 1.92
Ta 0.0000 0.0000 0.0000  6 H 1.90
Ti 0.9972 0.7500 0.4935  6 H 1.86-1.99
Ti 0.5065 0.0028 0.2500  6 H 1.86-1.99
Ta 0.5000 0.5000 0.5000  6 H 1.90
H 0.8603 0.0128 0.3140  3 Ti 1.86-1.99, 1 Ta 1.90, 1 H 1.92
H 0.6860 0.1397 0.9872  3 Ti 1.86-1.99, 1 Ta 1.90, 1 H 1.92
Ti 0.7500 0.4935 0.9972  6 H 1.86-1.99
H 0.0128 0.3140 0.8603  3 Ti 1.86-1.99, 1 Ta 1.90, 1 H 1.92
H 0.1870 0.5020 0.3581  3 Ti 1.88-1.99, 1 Ta 1.90, 1 H 1.92
Ti 0.4935 0.9972 0.7500  6 H 1.86-1.99
H 0.3140 0.8603 0.0128  3 Ti 1.86-1.99, 1 Ta 1.90, 1 H 1.92
H 0.4980 0.6419 0.8130  3 Ti 1.88-1.99, 1 Ta 1.90, 1 H 1.92
H 0.8130 0.4980 0.6419  3 Ti 1.88-1.99, 1 Ta 1.90, 1 H 1.92
Ti 0.2500 0.5065 0.0028  6 H 1.86-1.99

- Space-group type: R-3
- Crystal system: trigonal
- E: -59.23 eV per formula unit



Entry 4:
Compound: PaAgPtRh
Source: the Alexandria database
Functional: PBE-GGA
Structure: relaxed

abc: 4.7435 4.7435 4.7435
angles: 60.00 60.00 60.00
Closest atoms and distances in Å follow each position.
Fractional coordinates of all 4 atoms:
Pa 0.0000 0.0000 0.0000  4 Pt 2.90, 4 Rh 2.90
Ag 0.5000 0.5000 0.5000  4 Rh 2.90, 4 Pt 2.90
Rh 0.2500 0.2500 0.2500  4 Pa 2.90, 4 Ag 2.90
Pt 0.7500 0.7500 0.7500  4 Pa 2.90, 4 Ag 2.90

- Space-group type: F-43m
- ΔE_f: -0.541 eV/atom
- Crystal system: cubic



Entry 5:
Compound: Sc2AuCF
Source: the Alexandria database
Functional: PBE-GGA
Structure: relaxed

abc: 4.4949 3.8279 4.4949
angles: 90.00 90.00 90.00
Closest atoms and distances in Å follow each position.
Fractional coordinates of all 5 atoms:
F 0.0000 0.0000 0.0000  2 C 1.91
C 0.0000 0.5000 0.0000  2 F 1.91
Sc 0.5000 0.0000 0.0000  2 F 2.25
Sc 0.0000 0.0000 0.5000  2 F 2.25
Au 0.5000 0.5000 0.5000  8 Sc 2.95, 4 C 3.18

- Space-group type: P4/mmm
- Crystal system: tetragonal
- E: -27.60 eV per formula unit



Entry 6:
Compound: Tb3Nd2PuAs6
Source: the Alexandria database
Functional: PBE-GGA
Structure: relaxed

abc: 4.1878 8.3646 9.3445
angles: 102.89 102.95 90.00
Closest atoms and distances in Å follow each position.
Fractional coordinates of all 12 atoms:
Tb 0.1677 0.8335 0.3354  6 As 2.92-2.96
As 0.6649 0.5884 0.3297  3 Tb 2.92, 3 Nd 2.99
Nd 0.8334 0.6659 0.6669  6 As 2.99-3.00
As 0.0022 0.7539 0.0044  3 Tb 2.93-2.98, 2 Pu 2.94, 1 Nd 2.99
As 0.6656 0.0772 0.3313  3 Tb 2.93-2.96, 1 Pu 2.94, 2 Nd 3.00
As 0.9978 0.2461 0.9956  3 Tb 2.93-2.98, 2 Pu 2.94, 1 Nd 2.99
As 0.3344 0.9228 0.6687  3 Tb 2.93-2.96, 1 Pu 2.94, 2 Nd 3.00
Nd 0.1666 0.3341 0.3331  6 As 2.99-3.00
As 0.3351 0.4116 0.6703  3 Tb 2.92, 3 Nd 2.99
Pu 0.5000 0.0000 0.0000  6 As 2.94
Tb 0.8323 0.1665 0.6646  6 As 2.92-2.96
Tb 0.5000 0.5000 0.0000  6 As 2.92-2.98

- Space-group type: C2/m
- ΔE_f: -1.432 eV/atom
- Crystal system: monoclinic



Entry 7:
Compound: Co2PdSe2
Source: the Alexandria database
Functional: PBE-GGA
Structure: relaxed

abc: 3.5792 3.5792 6.7190
angles: 74.55 74.55 90.00
Closest atoms and distances in Å follow each position.
Fractional coordinates of all 5 atoms:
Pd 0.0000 0.0000 0.0000  8 Se 3.00
Co 0.7500 0.2500 0.5000  4 Se 2.34, 4 Co 2.53
Se 0.6290 0.6290 0.7420  4 Co 2.34
Co 0.2500 0.7500 0.5000  4 Se 2.34, 4 Co 2.53
Se 0.3710 0.3710 0.2580  4 Co 2.34

- Space-group type: I4/mmm
- Crystal system: tetragonal
- E: -26.22 eV per formula unit



Entry 8:
Compound: La2Sm3DyY6
Source: the Alexandria database
Functional: PBE-GGA
Structure: relaxed

abc: 6.2675 6.2675 11.9022
angles: 95.02 95.02 119.99
Closest atoms and distances in Å follow each position.
Fractional coordinates of all 12 atoms:
Y 0.9161 0.5837 0.7483  3 Sm 3.58-3.59, 6 Y 3.61-3.62, 1 Dy 3.61, 2 La 3.62
Sm 0.5000 0.5000 0.5000  6 Y 3.58, 6 Sm 3.62
Sm 0.1667 0.8333 0.5000  6 Y 3.58-3.59, 6 Sm 3.62
Y 0.4163 0.0839 0.2517  3 Sm 3.58-3.59, 6 Y 3.61-3.62, 1 Dy 3.61, 2 La 3.62
La 0.6662 0.3338 0.0000  3 La 3.61-3.62, 6 Y 3.62, 3 Dy 3.62
Y 0.0839 0.4163 0.2517  3 Sm 3.58-3.59, 6 Y 3.61-3.62, 1 Dy 3.61, 2 La 3.62
Y 0.7517 0.7517 0.2521  3 Sm 3.58, 6 Y 3.61-3.62, 1 Dy 3.61, 2 La 3.62
Y 0.5837 0.9161 0.7483  3 Sm 3.58-3.59, 6 Y 3.61-3.62, 1 Dy 3.61, 2 La 3.62
Dy 0.0000 0.0000 0.0000  6 Y 3.61, 6 La 3.62
Sm 0.8333 0.1667 0.5000  6 Y 3.58-3.59, 6 Sm 3.62
La 0.3338 0.6662 0.0000  3 La 3.61-3.62, 6 Y 3.62, 3 Dy 3.62
Y 0.2483 0.2483 0.7479  3 Sm 3.58, 6 Y 3.61-3.62, 1 Dy 3.61, 2 La 3.62

- Space-group type: C2/m
- ΔE_f: 0.014 eV/atom
- Crystal system: monoclinic



| no. | N(E_F) (states/eV/f.u.) | M_tot (μB per cell) |
| --- | --- | --- |
| 1 | 2.55 | 0.00 |
| 2 | 6.19 | 2.45 |
| 3 | 4.57 | 0.00 |
| 4 | 4.01 | 0.00 |
| 5 | 4.10 | 0.10 |
| 6 | 15.26 | 4.86 |
| 7 | 6.66 | 0.00 |
| 8 | 15.28 | 0.00 |